(1)
Below is crystalline NaTbPm2Te4 at its relaxed geometry, with properties calculated at the PBE-GGA level.

Lattice parameters (Å, degrees): 7.726 4.421 7.733 90.00 108.97 90.00
Space group P2/m (No. 10)
Unique sites:
Na 0.000 0.000 0.000 (multiplicity 1)
Tb 0.500 0.500 0.000 (multiplicity 1)
Pm 0.000 0.500 0.500 (multiplicity 1)
Pm 0.500 0.000 0.500 (multiplicity 1)
Te 0.251 0.500 0.246 (multiplicity 2)
Te 0.253 0.000 0.757 (multiplicity 2)

Summary:
DOS at the Fermi energy = 3.311 states/eV per cell
final energy = -4.8588 eV per atom
spin magnetization = 0.00 μB per formula unit
ρ = 6.5 g/cm3

(2)
Below is crystalline NaTb2PmTe4 at its relaxed geometry, with properties calculated at the PBE-GGA level.

Lattice parameters (Å, degrees): 7.699 4.391 7.711 90.00 108.90 90.00
Space group P2/m (No. 10)
Unique sites:
Na 0.000 0.000 0.000 (multiplicity 1)
Tb 0.000 0.500 0.500 (multiplicity 1)
Tb 0.500 0.000 0.500 (multiplicity 1)
Pm 0.500 0.500 0.000 (multiplicity 1)
Te 0.245 0.000 0.744 (multiplicity 2)
Te 0.251 0.500 0.256 (multiplicity 2)

Summary:
DOS at the Fermi energy = 3.125 states/eV per cell
final energy = -4.8317 eV per atom
spin magnetization = 0.00 μB per formula unit
ρ = 6.7 g/cm3

(3)
Below is crystalline Na3TbPm2Te6 at its relaxed geometry, with properties calculated at the PBE-GGA level.

Lattice parameters (Å, degrees): 7.784 13.485 8.006 90.00 108.93 90.00
Space group C2/m (No. 12)
Unique sites:
Na 0.000 0.000 0.000 (multiplicity 2)
Na 0.000 0.332 0.000 (multiplicity 4)
Tb 0.000 0.500 0.500 (multiplicity 2)
Pm 0.000 0.166 0.500 (multiplicity 4)
Te 0.243 0.336 0.736 (multiplicity 8)
Te 0.249 0.500 0.264 (multiplicity 4)

Summary:
final energy = -4.4049 eV per atom
spin magnetization = 0.00 μB per formula unit
ρ = 5.4 g/cm3

(4)
Below is crystalline NaTb3Pm2Te6 at its relaxed geometry, with properties calculated at the PBE-GGA level.

Lattice parameters (Å, degrees): 19.360 4.401 8.910 90.00 103.63 90.00
Space group C2/m (No. 12)
Unique sites:
Na 0.000 0.000 0.000 (multiplicity 2)
Tb 0.000 0.000 0.500 (multiplicity 2)
Tb 0.166 0.500 0.827 (multiplicity 4)
Pm 0.171 0.500 0.344 (multiplicity 4)
Te 0.000 0.500 0.253 (multiplicity 4)
Te 0.163 0.000 0.588 (multiplicity 4)
Te 0.168 0.000 0.079 (multiplicity 4)

Summary:
DOS at the Fermi energy = 8.260 states/eV per cell
final energy = -4.9873 eV per atom
spin magnetization = 0.00 μB per formula unit
ρ = 7.0 g/cm3

(5)
Below is crystalline Na2Tb3PmTe6 at its relaxed geometry, with properties calculated at the PBE-GGA level.

Lattice parameters (Å, degrees): 7.653 13.245 7.775 90.00 109.14 90.00
Space group C2/m (No. 12)
Unique sites:
Na 0.000 0.166 0.000 (multiplicity 4)
Tb 0.000 0.000 0.500 (multiplicity 2)
Tb 0.000 0.332 0.500 (multiplicity 4)
Pm 0.000 0.500 0.000 (multiplicity 2)
Te 0.247 0.500 0.742 (multiplicity 4)
Te 0.248 0.167 0.744 (multiplicity 8)

Summary:
DOS at the Fermi energy = 7.410 states/eV per cell
final energy = -4.6778 eV per atom
spin magnetization = 0.00 μB per formula unit
ρ = 6.4 g/cm3

(6)
Below is crystalline NaTb2PmTl4 at its relaxed geometry, with properties calculated at the PBE-GGA level.

Lattice parameters (Å, degrees): 5.3575 5.3575 26.8214 90.00 90.00 120.00
Space group R-3m (No. 166, hexagonal axes)
Unique sites:
Na 0.0000 0.0000 0.0000 (multiplicity 3)
Tb 0.0000 0.0000 0.2543 (multiplicity 6)
Pm 0.0000 0.0000 0.5000 (multiplicity 3)
Tl 0.0000 0.0000 0.1237 (multiplicity 6)
Tl 0.0000 0.0000 0.3741 (multiplicity 6)

Summary:
DOS at the Fermi energy = 14.077 states/eV per cell
final energy = -3.4035 eV per atom
formation energy from the elements = -29.3 kJ/mol of atoms
spin magnetization = 0.00 μB per formula unit
ρ = 9.7 g/cm3